1.
# Sb2ICl2 (PBE-GGA, optimized geometry)
# - energy relative to the elements, uncorrected (eV/atom) = -0.087
# - D(E_F) (states/eV per cell) = 8.031
data_Sb2ICl2
_symmetry_space_group_name_H-M 'P 4/m b m'
_symmetry_Int_Tables_number 127
_symmetry_space_group_name_Hall '-P 4 2ab'
_cell_length_a 8.030
_cell_length_b 8.030
_cell_length_c 4.437
_cell_angle_alpha 90.00
_cell_angle_beta 90.00
_cell_angle_gamma 90.00
loop_
_atom_site_label
_atom_site_type_symbol
_atom_site_fract_x
_atom_site_fract_y
_atom_site_fract_z
Sb1 Sb 0.129 0.371 0.000
I1 I 0.000 0.000 0.000
Cl1 Cl 0.169 0.669 0.500

2.
# In2TcW (PBE-GGA, optimized geometry)
# - energy above the lowest structure with this stoichiometry (meV per atom) = 498
# - energy of formation (eV/atom) = 0.67
# - D(E_F) (states/eV per cell) = 9.420
data_In2TcW
_symmetry_space_group_name_H-M 'I 4/m m m'
_symmetry_Int_Tables_number 139
_symmetry_space_group_name_Hall '-I 4 2'
_cell_length_a 4.052
_cell_length_b 4.052
_cell_length_c 8.815
_cell_angle_alpha 90.00
_cell_angle_beta 90.00
_cell_angle_gamma 90.00
loop_
_atom_site_label
_atom_site_type_symbol
_atom_site_fract_x
_atom_site_fract_y
_atom_site_fract_z
In1 In 0.000 0.500 0.250
Tc1 Tc 0.000 0.000 0.000
W1 W 0.000 0.000 0.500

3.
# NiPbCl2 (PBE-GGA, optimized geometry)
# - energy above the lowest structure with this stoichiometry (meV per atom) = 68
# - energy relative to the elements, uncorrected (eV/atom) = -0.403
# - D(E_F) (states/eV per cell) = 5.784
data_NiPbCl2
_symmetry_space_group_name_H-M 'R 3 m'
_symmetry_Int_Tables_number 160
_symmetry_space_group_name_Hall 'R 3 -2"'
_cell_length_a 3.8742
_cell_length_b 3.8742
_cell_length_c 22.4493
_cell_angle_alpha 90.00
_cell_angle_beta 90.00
_cell_angle_gamma 120.00
loop_
_atom_site_label
_atom_site_type_symbol
_atom_site_fract_x
_atom_site_fract_y
_atom_site_fract_z
Ni1 Ni 0.0000 0.0000 0.0000
Pb1 Pb 0.0000 0.0000 0.2475
Cl1 Cl 0.0000 0.0000 0.4971
Cl2 Cl 0.0000 0.0000 0.6857

4.
# Li2InPd (PBE-GGA, optimized geometry)
# - energy of formation (eV/atom) = -0.39
# - D(E_F) (states/eV per cell) = 1.529
data_Li2InPd
_symmetry_space_group_name_H-M 'P 4/m m m'
_symmetry_Int_Tables_number 123
_symmetry_space_group_name_Hall '-P 4 2'
_cell_length_a 3.312
_cell_length_b 3.312
_cell_length_c 5.832
_cell_angle_alpha 90.00
_cell_angle_beta 90.00
_cell_angle_gamma 90.00
loop_
_atom_site_label
_atom_site_type_symbol
_atom_site_fract_x
_atom_site_fract_y
_atom_site_fract_z
Li1 Li 0.000 0.000 0.218
In1 In 0.500 0.500 0.500
Pd1 Pd 0.500 0.500 0.000

| no. | total magnetic moment (μB/cell) |
| --- | --- |
| 1 | 0.0 |
| 2 | 0.0 |
| 3 | 0.0 |
| 4 | 0.0 |